DFT (PBE) results for an optimized crystal structure of Nd2SmY5Tm.

Lattice parameters (Å, degrees): 8.6168 8.6168 10.0069 115.50 115.50 90.00
With the nearest neighbours (Å) after each atom.
Element x y z (fractional)
Nd1 0.1186 0.3814 0.0000  1 Nd 2.89, 2 Y 3.05
Nd2 0.6186 0.1186 0.0000  1 Nd 2.89, 2 Y 3.05
Nd3 0.3814 0.8814 0.0000  1 Nd 2.89, 2 Y 3.05
Nd4 0.8814 0.6186 0.0000  1 Nd 2.89, 2 Y 3.05
Sm1 0.2500 0.7500 0.5000  4 Y 3.09
Sm2 0.7500 0.2500 0.5000  4 Y 3.09
Y1 0.9303 0.4303 0.2796  1 Nd 3.05, 1 Sm 3.09
Y2 0.6507 0.1507 0.7204  1 Nd 3.05, 1 Sm 3.09
Y3 0.0697 0.5697 0.7204  1 Nd 3.05, 1 Sm 3.09
Y4 0.1507 0.0697 0.7204  1 Nd 3.05, 1 Sm 3.09
Y5 0.5697 0.6507 0.7204  1 Nd 3.05, 1 Sm 3.09
Y6 0.8493 0.9303 0.2796  1 Nd 3.05, 1 Sm 3.09
Y7 0.4303 0.3493 0.2796  1 Nd 3.05, 1 Sm 3.09
Y8 0.3493 0.8493 0.2796  1 Nd 3.05, 1 Sm 3.09
Y9 0.5000 0.5000 0.0000  4 Nd 3.44, 8 Y 3.80
Y10 0.0000 0.0000 0.0000  4 Nd 3.44, 8 Y 3.80
Tm1 0.2500 0.2500 0.5000  10 Y 3.55-3.97
Tm2 0.7500 0.7500 0.5000  10 Y 3.55-3.97

**Volume**: 32.744 A^3/atom
**ΔH_f (0 K)**: 0.252 eV/atom